The following is a DFT calculation (SCAN) of a crystal of ScBeGeO2 relaxed with PBEsol.

Lattice parameters (Å, degrees): 3.7655 3.7655 5.4393 90.00 90.00 90.00
Sites, in units of the cell vectors:
1 Sc 0.0000 0.0000 0.0000
2 Be 0.5000 0.5000 0.0000
3 Ge 0.0000 0.0000 0.5000
4 O 0.0000 0.5000 0.5000
5 O 0.5000 0.0000 0.5000

Computed properties:
VASP energy	-49.856	eV per cell
uncorrected formation energy	57	meV per atom

=====

The following is a DFT calculation (SCAN) of a crystal of BeSi2GeO relaxed with PBEsol.

Lattice parameters (Å, degrees): 4.0018 4.0018 4.3887 90.00 90.00 90.00
Sites, in units of the cell vectors:
1 Be 0.0000 0.0000 0.0000
2 Si 0.0000 0.5000 0.5000
3 Si 0.5000 0.0000 0.5000
4 Ge 0.5000 0.5000 0.0000
5 O 0.5000 0.5000 0.5000

Computed properties:
VASP energy	-47.276	eV per cell
uncorrected formation energy	486	meV per atom

=====

The following is a DFT calculation (SCAN) of a crystal of Sm2Be2GeO7 relaxed with PBEsol.

Lattice parameters (Å, degrees): 7.4842 7.4842 4.8341 90.00 90.00 90.00
Sites, in units of the cell vectors:
1 Sm 0.1587 0.3413 0.4954
2 Sm 0.3413 0.8413 0.5046
3 Sm 0.6587 0.1587 0.5046
4 Sm 0.8413 0.6587 0.4954
5 Be 0.1345 0.6345 0.9561
6 Be 0.3655 0.1345 0.0439
7 Be 0.6345 0.8655 0.0439
8 Be 0.8655 0.3655 0.9561
9 Ge 0.0000 0.0000 0.0000
10 Ge 0.5000 0.5000 0.0000
11 O 0.0000 0.5000 0.8218
12 O 0.0791 0.8272 0.7883
13 O 0.1418 0.6418 0.2837
14 O 0.1728 0.0791 0.2117
15 O 0.3272 0.5791 0.7883
16 O 0.3582 0.1418 0.7163
17 O 0.4209 0.3272 0.2117
18 O 0.5000 0.0000 0.1782
19 O 0.5791 0.6728 0.2117
20 O 0.6418 0.8582 0.7163
21 O 0.6728 0.4209 0.7883
22 O 0.8272 0.9209 0.2117
23 O 0.8582 0.3582 0.2837
24 O 0.9209 0.1728 0.7883

Computed properties:
VASP energy	-395.807	eV per cell
uncorrected formation energy	-3134	meV per atom

=====

The following is a DFT calculation (SCAN) of a crystal of BeTcGe2O relaxed with PBEsol.

Lattice parameters (Å, degrees): 4.9006 4.9006 3.6271 90.00 90.00 90.00
Sites, in units of the cell vectors:
1 Be 0.0000 0.0000 0.0000
2 Tc 0.5000 0.5000 0.5000
3 Ge 0.0000 0.5000 0.5000
4 Ge 0.5000 0.0000 0.5000
5 O 0.5000 0.5000 0.0000

Computed properties:
VASP energy	-82.481	eV per cell
uncorrected formation energy	268	meV per atom

=====

The following is a DFT calculation (SCAN) of a crystal of Zr2BeGeO relaxed with PBEsol.

Lattice parameters (Å, degrees): 4.3165 4.3165 4.2102 90.00 90.00 90.00
Sites, in units of the cell vectors:
1 Zr 0.0000 0.5000 0.0000
2 Zr 0.5000 0.0000 0.0000
3 Be 0.0000 0.0000 0.5000
4 Ge 0.5000 0.5000 0.5000
5 O 0.5000 0.5000 0.0000

Computed properties:
VASP energy	-94.368	eV per cell
uncorrected formation energy	-660	meV per atom

=====

The following is a DFT calculation (SCAN) of a crystal of Be3GeP relaxed with PBEsol.

Lattice parameters (Å, degrees): 4.2032 4.2032 4.2032 90.00 90.00 90.00
Sites, in units of the cell vectors:
1 Be 0.0000 0.0000 0.5000
2 Be 0.0000 0.5000 0.0000
3 Be 0.5000 0.0000 0.0000
4 Ge 0.0000 0.0000 0.0000
5 P 0.5000 0.5000 0.5000

Computed properties:
formation energy	0.96	eV per atom
VASP energy	-37.750	eV per cell

=====

The following is a DFT calculation (SCAN) of a crystal of BeGePS2 relaxed with PBEsol.

Lattice parameters (Å, degrees): 4.4381 4.4381 4.0655 90.00 90.00 90.00
Sites, in units of the cell vectors:
1 Be 0.0000 0.0000 0.0000
2 Ge 0.5000 0.5000 0.5000
3 P 0.0000 0.0000 0.5000
4 S 0.0000 0.5000 0.0000
5 S 0.5000 0.0000 0.0000

Computed properties:
VASP energy	-50.740	eV per cell
uncorrected formation energy	471	meV per atom

=====

The following is a DFT calculation (SCAN) of a crystal of BeTcGe2P relaxed with PBEsol.

Lattice parameters (Å, degrees): 4.6938 4.6938 4.2913 90.00 90.00 90.00
Sites, in units of the cell vectors:
1 Be 0.0000 0.0000 0.0000
2 Tc 0.0000 0.0000 0.5000
3 Ge 0.0000 0.5000 0.5000
4 Ge 0.5000 0.0000 0.5000
5 P 0.5000 0.5000 0.0000

Computed properties:
formation energy	0.84	eV per atom
VASP energy	-83.794	eV per cell

=====

The following is a DFT calculation (SCAN) of a crystal of Be3GePb relaxed with PBEsol.

Lattice parameters (Å, degrees): 4.6047 4.6047 4.6047 90.00 90.00 90.00
Sites, in units of the cell vectors:
1 Be 0.0000 0.0000 0.5000
2 Be 0.0000 0.5000 0.0000
3 Be 0.5000 0.0000 0.0000
4 Ge 0.5000 0.5000 0.5000
5 Pb 0.0000 0.0000 0.0000

Computed properties:
formation energy	1.37	eV per atom
VASP energy	-101.063	eV per cell

=====

The following is a DFT calculation (SCAN) of a crystal of BeGe3Rh relaxed with PBEsol.

Lattice parameters (Å, degrees): 4.6958 4.6958 4.6958 90.00 90.00 90.00
Sites, in units of the cell vectors:
1 Be 0.0000 0.0000 0.0000
2 Ge 0.0000 0.5000 0.5000
3 Ge 0.5000 0.0000 0.5000
4 Ge 0.5000 0.5000 0.0000
5 Rh 0.5000 0.5000 0.5000

Computed properties:
formation energy	0.65	eV per atom
VASP energy	-92.147	eV per cell

=====

The following is a DFT calculation (SCAN) of a crystal of Be2GeRu2 relaxed with PBEsol.

Lattice parameters (Å, degrees): 6.2496 6.2496 3.0618 90.00 90.00 90.00
Sites, in units of the cell vectors:
1 Be 0.1334 0.3666 0.0000
2 Be 0.3666 0.8666 0.0000
3 Be 0.6334 0.1334 0.0000
4 Be 0.8666 0.6334 0.0000
5 Ge 0.0000 0.0000 0.5000
6 Ge 0.5000 0.5000 0.5000
7 Ru 0.1570 0.6570 0.5000
8 Ru 0.3430 0.1570 0.5000
9 Ru 0.6570 0.8430 0.5000
10 Ru 0.8430 0.3430 0.5000

Computed properties:
formation energy	-0.36	eV per atom
VASP energy	-198.468	eV per cell

=====

The following is a DFT calculation (SCAN) of a crystal of Be2Ge2S relaxed with PBEsol.

Lattice parameters (Å, degrees): 5.7239 5.7239 5.7239 140.83 140.83 56.60
Sites, in units of the cell vectors:
1 Be 0.2500 0.7500 0.5000
2 Be 0.7500 0.2500 0.5000
3 Ge 0.1180 0.1180 0.0000
4 Ge 0.8820 0.8820 0.0000
5 S 0.5000 0.5000 0.0000

Computed properties:
VASP energy	-53.582	eV per cell
uncorrected formation energy	586	meV per atom

=====

The following is a DFT calculation (SCAN) of a crystal of Be3GeSb relaxed with PBEsol.

Lattice parameters (Å, degrees): 4.3278 4.3278 4.3278 90.00 90.00 90.00
Sites, in units of the cell vectors:
1 Be 0.0000 0.0000 0.5000
2 Be 0.0000 0.5000 0.0000
3 Be 0.5000 0.0000 0.0000
4 Ge 0.0000 0.0000 0.0000
5 Sb 0.5000 0.5000 0.5000

Computed properties:
VASP energy	-65.478	eV per cell
uncorrected formation energy	786	meV per atom

=====

The following is a DFT calculation (SCAN) of a crystal of BeGe3Sb relaxed with PBEsol.

Lattice parameters (Å, degrees): 4.5507 4.5507 4.5507 90.00 90.00 90.00
Sites, in units of the cell vectors:
1 Be 0.0000 0.0000 0.0000
2 Ge 0.0000 0.0000 0.5000
3 Ge 0.0000 0.5000 0.0000
4 Ge 0.5000 0.0000 0.0000
5 Sb 0.5000 0.5000 0.5000

Computed properties:
VASP energy	-96.499	eV per cell
uncorrected formation energy	476	meV per atom

=====

The following is a DFT calculation (SCAN) of a crystal of BeGeSb2Te relaxed with PBEsol.

Lattice parameters (Å, degrees): 5.2298 5.2298 5.3370 90.00 90.00 90.00
Sites, in units of the cell vectors:
1 Be 0.0000 0.0000 0.0000
2 Ge 0.5000 0.5000 0.5000
3 Sb 0.0000 0.5000 0.5000
4 Sb 0.5000 0.0000 0.5000
5 Te 0.5000 0.5000 0.0000

Computed properties:
VASP energy	-129.507	eV per cell
uncorrected formation energy	1141	meV per atom

=====

The following is a DFT calculation (SCAN) of a crystal of BeGeSbTe2 relaxed with PBEsol.

Lattice parameters (Å, degrees): 5.3289 5.3289 5.2017 90.00 90.00 90.00
Sites, in units of the cell vectors:
1 Be 0.0000 0.0000 0.0000
2 Ge 0.5000 0.5000 0.5000
3 Sb 0.5000 0.5000 0.0000
4 Te 0.0000 0.5000 0.5000
5 Te 0.5000 0.0000 0.5000

Computed properties:
VASP energy	-129.887	eV per cell
uncorrected formation energy	1064	meV per atom

=====

The following is a DFT calculation (SCAN) of a crystal of Sc3BeGe relaxed with PBEsol.

Lattice parameters (Å, degrees): 4.9694 4.9694 4.9694 90.00 90.00 90.00
Sites, in units of the cell vectors:
1 Sc 0.0000 0.0000 0.5000
2 Sc 0.0000 0.5000 0.0000
3 Sc 0.5000 0.0000 0.0000
4 Be 0.5000 0.5000 0.5000
5 Ge 0.0000 0.0000 0.0000

Computed properties:
formation energy	0.26	eV per atom
VASP energy	-64.873	eV per cell

=====

The following is a DFT calculation (SCAN) of a crystal of ScBeGe3 relaxed with PBEsol.

Lattice parameters (Å, degrees): 4.4533 4.4533 4.4533 90.00 90.00 90.00
Sites, in units of the cell vectors:
1 Sc 0.0000 0.0000 0.0000
2 Be 0.5000 0.5000 0.5000
3 Ge 0.0000 0.5000 0.5000
4 Ge 0.5000 0.0000 0.5000
5 Ge 0.5000 0.5000 0.0000

Computed properties:
formation energy	0.19	eV per atom
VASP energy	-74.922	eV per cell

=====

The following is a DFT calculation (SCAN) of a crystal of BeGeSe3 relaxed with PBEsol.

Lattice parameters (Å, degrees): 4.8831 4.8831 4.8831 90.00 90.00 90.00
Sites, in units of the cell vectors:
1 Be 0.0000 0.0000 0.0000
2 Ge 0.5000 0.5000 0.5000
3 Se 0.0000 0.5000 0.5000
4 Se 0.5000 0.0000 0.5000
5 Se 0.5000 0.5000 0.0000

Computed properties:
VASP energy	-79.351	eV per cell
uncorrected formation energy	865	meV per atom

=====

The following is a DFT calculation (SCAN) of a crystal of BeSi2Ge relaxed with PBEsol.

Lattice parameters (Å, degrees): 7.1622 7.1622 7.1622 141.70 141.70 55.28
Sites, in units of the cell vectors:
1 Be 0.0000 0.0000 0.0000
2 Be 0.7500 0.2500 0.5000
3 Si 0.0678 0.6250 0.9428
4 Si 0.3750 0.3178 0.4428
5 Si 0.6822 0.1250 0.0572
6 Si 0.8750 0.9322 0.5572
7 Ge 0.2500 0.7500 0.5000
8 Ge 0.5000 0.5000 0.0000

Computed properties:
VASP energy	-83.275	eV per cell
uncorrected formation energy	459	meV per atom

=====

Total magnetization / Bohr magnetons per cell: 0.000, 0.000, 0.000, 0.000, 0.000, 0.001, 0.000, 1.704, 0.000, 0.000, 0.000, 0.000, 0.000, 0.000, 0.000, 0.000, 1.053, 0.000, 0.270, 0.000
Calculated volume / Å³ per atom: 15.43, 14.06, 11.28, 17.42, 15.69, 14.85, 16.02, 18.91, 19.53, 20.71, 11.96, 14.84, 16.21, 18.85, 29.19, 29.54, 24.54, 17.66, 23.29, 17.51